# YBe17Pd PBE relaxed
# **DOS at the Fermi energy**: 11.026 states/eV per cell
# **E_tot**: -4.051 eV/atom
# **Formation energy from the elements**: -9.9 kJ/mol of atoms
data_YBe17Pd
_space_group_name_H-M_alt 'R 3 m'
_space_group_IT_number 160
_space_group_name_Hall 'R 3 -2"'
_cell_length_a 7.5484
_cell_length_b 7.5484
_cell_length_c 10.9249
_cell_angle_alpha 90.00
_cell_angle_beta 90.00
_cell_angle_gamma 120.00
loop_
_atom_site_label
_atom_site_type_symbol
_atom_site_fract_x
_atom_site_fract_y
_atom_site_fract_z
_atom_site_occupancy
Y1 Y 0.0000 0.0000 0.0000 1
Be1 Be 0.0000 0.0000 0.5556 1
Be2 Be 0.0000 0.0000 0.7501 1
Be3 Be 0.0462 0.3729 0.3216 1
Be4 Be 0.1696 0.3393 0.8331 1
Be5 Be 0.1732 0.3463 0.4924 1
Be6 Be 0.1760 0.3519 0.1392 1
Pd1 Pd 0.0000 0.0000 0.3271 1